1.
# Hf3In2Hg2 | OQMD via LeMat-Bulk | PBE | relaxed
data_Hf3In2Hg2
_chemical_formula_sum 'Hf9 In6 Hg6'
_symmetry_space_group_name_H-M 'R 3 m'
_symmetry_Int_Tables_number 160
_symmetry_space_group_name_Hall 'R 3 -2"'
_cell_length_a 4.8851
_cell_length_b 4.8851
_cell_length_c 23.7947
_cell_angle_alpha 90.00
_cell_angle_beta 90.00
_cell_angle_gamma 120.00
loop_
_atom_site_label
_atom_site_type_symbol
_atom_site_fract_x
_atom_site_fract_y
_atom_site_fract_z
Hf1 Hf 0.0000 0.0000 0.0000
Hf2 Hf 0.0000 0.0000 0.2552
Hf3 Hf 0.0000 0.0000 0.5108
In1 In 0.0000 0.0000 0.1238
In2 In 0.0000 0.0000 0.6379
Hg1 Hg 0.0000 0.0000 0.3882
Hg2 Hg 0.0000 0.0000 0.8672
# E: -35.34 eV per formula unit
# V: 491.76 Å³/cell

***

2.
# KSmPu | OQMD via LeMat-Bulk | PBE | relaxed
data_KSmPu
_chemical_formula_sum 'K4 Sm4 Pu4'
_symmetry_space_group_name_H-M 'F -4 3 m'
_symmetry_Int_Tables_number 216
_symmetry_space_group_name_Hall 'F -4 2 3'
_cell_length_a 8.220
_cell_length_b 8.220
_cell_length_c 8.220
_cell_angle_alpha 90.00
_cell_angle_beta 90.00
_cell_angle_gamma 90.00
loop_
_atom_site_label
_atom_site_type_symbol
_atom_site_fract_x
_atom_site_fract_y
_atom_site_fract_z
K1 K 0.000 0.000 0.000
Sm1 Sm 0.000 0.000 0.500
Pu1 Pu 0.250 0.250 0.250
# V: 555.40 Å³/cell
# Energy above the most stable polymorph in this dataset: 0 meV per atom

***

3.
# Sc2GaTc | OQMD via LeMat-Bulk | PBE | relaxed
data_Sc2GaTc
_chemical_formula_sum 'Sc12 Ga6 Tc6'
_symmetry_space_group_name_H-M 'I m m m'
_symmetry_Int_Tables_number 71
_symmetry_space_group_name_Hall '-I 2 2'
_cell_length_a 4.649
_cell_length_b 6.578
_cell_length_c 13.932
_cell_angle_alpha 90.00
_cell_angle_beta 90.00
_cell_angle_gamma 90.00
loop_
_atom_site_label
_atom_site_type_symbol
_atom_site_fract_x
_atom_site_fract_y
_atom_site_fract_z
Sc1 Sc 0.000 0.249 0.000
Sc2 Sc 0.000 0.250 0.334
Ga1 Ga 0.000 0.000 0.167
Ga2 Ga 0.000 0.000 0.500
Tc1 Tc 0.000 0.500 0.167
Tc2 Tc 0.000 0.500 0.500
# E: -27.79 eV per formula unit
# V: 426.09 Å³/cell